VASP calculation (GGA-PBE) on crystalline Pm8As3HSe4 at its relaxed geometry.

## Properties
The total energy comes out at -5.865 eV/atom. Its space group is R-3m (166).

Lattice parameters (Å, degrees): 8.368 8.368 8.368 59.84 59.84 59.84
Element x y z (fractional)
Pm (0.244, 0.751, 0.751)
Pm (0.247, 0.247, 0.247)
Pm (0.249, 0.249, 0.756)
Pm (0.249, 0.756, 0.249)
Pm (0.751, 0.244, 0.751)
Pm (0.751, 0.751, 0.244)
Pm (0.753, 0.753, 0.753)
Pm (0.756, 0.249, 0.249)
As (0.000, 0.000, 0.500)
As (0.000, 0.500, 0.000)
As (0.500, 0.000, 0.000)
H (0.500, 0.500, 0.500)
Se (0.000, 0.000, 0.000)
Se (0.000, 0.500, 0.500)
Se (0.500, 0.000, 0.500)
Se (0.500, 0.500, 0.000)

VASP calculation (GGA-PBE) on crystalline Pm6As2HSe3 at its relaxed geometry.

## Properties
The total energy comes out at -5.766 eV/atom. Its space group is C2/m (12).

Lattice parameters (Å, degrees): 9.298 9.298 8.297 103.72 103.72 26.02
Element x y z (fractional)
Pm (0.000, 0.000, 0.247)
Pm (0.000, 0.000, 0.753)
Pm (0.330, 0.330, 0.422)
Pm (0.335, 0.335, 0.914)
Pm (0.665, 0.665, 0.086)
Pm (0.670, 0.670, 0.578)
As (0.164, 0.164, 0.329)
As (0.836, 0.836, 0.671)
H (0.500, 0.500, 0.000)
Se (0.169, 0.169, 0.834)
Se (0.500, 0.500, 0.500)
Se (0.831, 0.831, 0.166)

VASP calculation (GGA-PBE) on crystalline Pr2AsH2 at its relaxed geometry.

## Properties
The total energy comes out at -4.997 eV/atom. Its space group is Fddd (70).

Lattice parameters (Å, degrees): 7.087 6.413 6.264 67.97 57.02 55.02
Element x y z (fractional)
Pr (0.090, 0.090, 0.660)
Pr (0.340, 0.340, 0.910)
Pr (0.660, 0.660, 0.090)
Pr (0.910, 0.910, 0.340)
As (0.375, 0.375, 0.375)
As (0.625, 0.625, 0.625)
H (0.005, 0.245, 0.005)
H (0.245, 0.005, 0.245)
H (0.755, 0.995, 0.755)
H (0.995, 0.755, 0.995)

VASP calculation (GGA-PBE) on crystalline Pr2AsH at its relaxed geometry.

## Properties
The value obtained for the excess energy over the best structure of this formula in the dataset is 0.00 eV/f.u. The total energy comes out at -5.259 eV/atom. Its space group is R-3m (166).

Lattice parameters (Å, degrees): 6.780 6.780 6.780 35.54 35.54 35.54
Element x y z (fractional)
Pr (0.245, 0.245, 0.245)
Pr (0.755, 0.755, 0.755)
As (0.000, 0.000, 0.000)
H (0.500, 0.500, 0.500)